one.
First-principles (GGA-PBE) data for a geometry-optimized NdFeC structure, as listed in the Alexandria database.

a b c (Å): 3.4521 3.4521 8.2173
angles (deg): 90.00 90.00 90.00
Space group P4/nmm (No. 129, origin choice 2)
Asymmetric unit:
Nd 0.2500 0.2500 0.2065 (multiplicity 2)
Fe 0.2500 0.7500 0.5000 (multiplicity 2)
C 0.2500 0.2500 0.6146 (multiplicity 2)

magnetic moment: 0.000 μB/f.u.
mass density: 7.19 g/cm³

***

two.
First-principles (GGA-PBE) data for a geometry-optimized NdFeC structure, as listed in the Alexandria database.

a b c (Å): 4.5752 12.1021 3.6698
angles (deg): 90.00 90.00 90.00
Space group Cmmm (No. 65)
Asymmetric unit:
Nd 0.0000 0.1504 0.0000 (multiplicity 4)
Fe 0.0000 0.4018 0.5000 (multiplicity 4)
C 0.1543 0.0000 0.5000 (multiplicity 4)

magnetic moment: 1.810 μB/f.u.
mass density: 6.93 g/cm³

***

Referenced to the most stable arrangement, the calculated values in meV/atom are one 0; two 305.

***

one.
First-principles (GGA-PBE) data for a geometry-optimized FeNiC structure, as listed in the Alexandria database.

a b c (Å): 4.9893 5.0187 4.5070
angles (deg): 90.00 90.00 90.00
Space group Cmme (No. 67)
Asymmetric unit:
Fe 0.2500 0.0000 0.0000 (multiplicity 4)
Ni 0.0000 0.0000 0.5000 (multiplicity 4)
C 0.0000 0.2500 0.1731 (multiplicity 4)

magnetic moment: 0.268 μB/f.u.
mass density: 7.45 g/cm³

***

two.
First-principles (GGA-PBE) data for a geometry-optimized FeNiC structure, as listed in the Alexandria database.

a b c (Å): 2.9233 2.9233 11.4713
angles (deg): 90.00 90.00 120.00
Space group R3m (No. 160, hexagonal axes)
Asymmetric unit:
Fe 0.0000 0.0000 0.0000 (multiplicity 3)
Ni 0.0000 0.0000 0.4961 (multiplicity 3)
C 0.0000 0.0000 0.7361 (multiplicity 3)

magnetic moment: 0.622 μB/f.u.
mass density: 7.43 g/cm³

***

three.
First-principles (GGA-PBE) data for a geometry-optimized FeNiC structure, as listed in the Alexandria database.

a b c (Å): 9.9588 2.8095 4.5303
angles (deg): 90.00 116.55 90.00
Space group Cm (No. 8)
Asymmetric unit:
Fe 0.0000 0.0000 0.0000 (multiplicity 2)
Fe 0.2472 0.0000 0.9329 (multiplicity 2)
Ni 0.2484 0.5000 0.4346 (multiplicity 2)
Ni 0.4948 0.0000 0.4942 (multiplicity 2)
C 0.1319 0.5000 0.9650 (multiplicity 2)
C 0.3664 0.0000 0.7126 (multiplicity 2)

magnetic moment: 1.188 μB/f.u.
mass density: 7.41 g/cm³

***

four.
First-principles (GGA-PBE) data for a geometry-optimized FeNiC structure, as listed in the Alexandria database.

a b c (Å): 8.5053 2.7131 6.1514
angles (deg): 90.00 127.85 90.00
Space group Cm (No. 8)
Asymmetric unit:
Fe 0.0000 0.0000 0.0000 (multiplicity 2)
Fe 0.2393 0.0000 0.5119 (multiplicity 2)
Ni 0.1127 0.5000 0.7558 (multiplicity 2)
Ni 0.3667 0.0000 0.2350 (multiplicity 2)
C 0.2159 0.5000 0.2757 (multiplicity 2)
C 0.2989 0.0000 0.8626 (multiplicity 2)

magnetic moment: 1.307 μB/f.u.
mass density: 7.50 g/cm³

***

Referenced to the most stable arrangement, the calculated values in meV/atom are one 0; two 119; three 104; four 132.

***

one.
First-principles (GGA-PBE) data for a geometry-optimized FeNiC structure, as listed in the Alexandria database.

a b c (Å): 3.0530 4.7169 3.7413
angles (deg): 90.00 90.00 90.00
Space group Pmn2_1 (No. 31)
Asymmetric unit:
Fe 0.0000 0.0565 0.0000 (multiplicity 2)
Ni 0.0000 0.5616 0.1942 (multiplicity 2)
C 0.0000 0.1997 0.4998 (multiplicity 2)

magnetic moment: 0.004 μB/f.u.
mass density: 7.80 g/cm³

***

two.
First-principles (GGA-PBE) data for a geometry-optimized FeNiC structure, as listed in the Alexandria database.

a b c (Å): 3.9052 2.9359 4.7851
angles (deg): 90.00 91.59 90.00
Space group Pm (No. 6)
Asymmetric unit:
Fe 0.0000 0.0000 0.0000 (multiplicity 1)
Fe 0.3111 0.5000 0.6286 (multiplicity 1)
Ni 0.5051 0.5000 0.1288 (multiplicity 1)
Ni 0.8071 0.0000 0.4954 (multiplicity 1)
C 0.0214 0.5000 0.2783 (multiplicity 1)
C 0.5167 0.0000 0.8394 (multiplicity 1)

magnetic moment: 1.731 μB/f.u.
mass density: 7.66 g/cm³

***

Referenced to the most stable arrangement, the calculated values in meV/atom are one 0; two 55.

***

one.
First-principles (GGA-PBE) data for a geometry-optimized FeNiC structure, as listed in the Alexandria database.

a b c (Å): 2.5919 9.5339 4.4141
angles (deg): 90.00 90.00 90.00
Space group Cmc2_1 (No. 36)
Asymmetric unit:
Fe 0.0000 0.0580 0.0000 (multiplicity 4)
Ni 0.0000 0.2071 0.5150 (multiplicity 4)
C 0.0000 0.4217 0.1784 (multiplicity 4)

magnetic moment: 0.645 μB/f.u.
mass density: 7.71 g/cm³

***

two.
First-principles (GGA-PBE) data for a geometry-optimized FeNiC structure, as listed in the Alexandria database.

a b c (Å): 3.4761 9.0992 3.5734
angles (deg): 90.00 90.00 90.00
Space group C222_1 (No. 20)
Asymmetric unit:
Fe 0.0000 0.2496 0.2500 (multiplicity 4)
Ni 0.2500 0.0000 0.5000 (multiplicity 4)
C 0.0000 0.1614 0.7500 (multiplicity 4)

magnetic moment: 0.406 μB/f.u.
mass density: 7.44 g/cm³

***

three.
First-principles (GGA-PBE) data for a geometry-optimized FeNiC structure, as listed in the Alexandria database.

a b c (Å): 4.3506 2.8395 4.5639
angles (deg): 90.00 91.76 90.00
Space group P2/m (No. 10)
Asymmetric unit:
Fe 0.2461 0.0000 0.3482 (multiplicity 2)
Ni 0.2450 0.5000 0.8406 (multiplicity 2)
C 0.0000 0.0000 0.0000 (multiplicity 1)
C 0.5000 0.5000 0.5000 (multiplicity 1)

magnetic moment: 1.193 μB/f.u.
mass density: 7.46 g/cm³

***

four.
First-principles (GGA-PBE) data for a geometry-optimized FeNiC structure, as listed in the Alexandria database.

a b c (Å): 9.6110 2.7747 4.2349
angles (deg): 90.00 98.65 90.00
Space group Cm (No. 8)
Asymmetric unit:
Fe 0.0000 0.0000 0.0000 (multiplicity 2)
Fe 0.2466 0.5000 0.0640 (multiplicity 2)
Ni 0.0812 0.5000 0.5020 (multiplicity 2)
Ni 0.3245 0.0000 0.5906 (multiplicity 2)
C 0.1562 0.0000 0.7823 (multiplicity 2)
C 0.4053 0.0000 0.1961 (multiplicity 2)

magnetic moment: 1.375 μB/f.u.
mass density: 7.53 g/cm³

***

Referenced to the most stable arrangement, the calculated values in meV/atom are one 149; two 17; three 0; four 84.

***

one.
First-principles (GGA-PBE) data for a geometry-optimized FeNiC structure, as listed in the Alexandria database.

a b c (Å): 9.5508 2.7676 4.2771
angles (deg): 90.00 100.27 90.00
Space group Cm (No. 8)
Asymmetric unit:
Fe 0.0000 0.0000 0.0000 (multiplicity 2)
Fe 0.1597 0.0000 0.5729 (multiplicity 2)
Ni 0.2386 0.5000 0.0838 (multiplicity 2)
Ni 0.4128 0.0000 0.4927 (multiplicity 2)
C 0.0716 0.5000 0.2777 (multiplicity 2)
C 0.3186 0.5000 0.7042 (multiplicity 2)

magnetic moment: 1.373 μB/f.u.
mass density: 7.56 g/cm³

***

two.
First-principles (GGA-PBE) data for a geometry-optimized FeNiC structure, as listed in the Alexandria database.

a b c (Å): 2.5769 2.5660 8.1192
angles (deg): 90.00 90.00 90.00
Space group Amm2 (No. 38)
Asymmetric unit:
Fe 0.0000 0.0000 0.0000 (multiplicity 2)
Ni 0.5000 0.0000 0.2681 (multiplicity 2)
C 0.5000 0.0000 0.5873 (multiplicity 2)

magnetic moment: 0.003 μB/f.u.
mass density: 7.83 g/cm³

***

Referenced to the most stable arrangement, the calculated values in meV/atom are one 0; two 57.

***

one.
First-principles (GGA-PBE) data for a geometry-optimized Fe3NiC structure, as listed in the Alexandria database.

a b c (Å): 3.7449 3.7449 3.7449
angles (deg): 90.00 90.00 90.00
Space group Pm-3m (No. 221)
Asymmetric unit:
Fe 0.0000 0.0000 0.5000 (multiplicity 3)
Ni 0.5000 0.5000 0.5000 (multiplicity 1)
C 0.0000 0.0000 0.0000 (multiplicity 1)

magnetic moment: 6.083 μB/f.u.
mass density: 7.53 g/cm³

***

two.
First-principles (GGA-PBE) data for a geometry-optimized Fe3NiC structure, as listed in the Alexandria database.

a b c (Å): 4.2838 4.2838 4.2838
angles (deg): 90.00 90.00 90.00
Space group Pm-3m (No. 221)
Asymmetric unit:
Fe 0.0000 0.0000 0.5000 (multiplicity 3)
Ni 0.0000 0.0000 0.0000 (multiplicity 1)
C 0.5000 0.5000 0.5000 (multiplicity 1)

magnetic moment: 9.970 μB/f.u.
mass density: 5.03 g/cm³

***

Referenced to the most stable arrangement, the calculated values in meV/atom are one 0; two 1940.